## Sr2CuNi (PBE)

Data for a relaxed Sr2CuNi crystal.

```
Sr2CuNi
1.0
-3.788 -0.628 3.526
0.958 -3.678 -7.342
0.634 -3.681 0.028
Cu Ni Sr
1 1 2
direct
0.500 0.500 0.000 Cu
0.500 0.000 0.500 Ni
0.000 0.000 0.000 Sr
0.000 0.500 0.500 Sr
```

***

## Sr2CuNi (PBE)

Data for a relaxed Sr2CuNi crystal.

```
Sr2CuNi
1.0
7.735 0.246 -0.063
5.298 5.642 0.063
-6.472 -3.041 2.959
Cu Ni Sr
1 1 2
direct
0.584 0.584 0.000 Cu
0.662 0.162 0.500 Ni
0.007 0.007 0.000 Sr
0.246 0.746 0.500 Sr
```

***

## Sr2CuNi (PBE)

Data for a relaxed Sr2CuNi crystal.

```
Sr2CuNi
1.0
-3.791 1.105 1.746
-3.646 -0.486 -2.260
-3.219 -6.529 2.476
Cu Ni Sr
1 1 2
direct
0.250 0.250 0.250 Cu
0.750 0.750 0.750 Ni
0.006 0.006 0.982 Sr
0.494 0.494 0.518 Sr
```

***

## Sr2Cu15Ni2 (PBE)

Data for a relaxed Sr2Cu15Ni2 crystal.

```
Sr2Cu15Ni2
1.0
-3.684 -0.334 5.387
4.684 -2.172 4.006
1.683 5.821 2.448
Sr Cu Ni
2 15 2
direct
0.341 0.341 0.341 Sr
0.659 0.659 0.659 Sr
0.500 0.000 0.000 Cu
0.000 0.000 0.500 Cu
0.000 0.500 0.000 Cu
0.000 0.714 0.286 Cu
0.714 0.286 0.000 Cu
0.286 0.000 0.714 Cu
0.286 0.714 0.000 Cu
0.714 0.000 0.286 Cu
0.000 0.286 0.714 Cu
0.148 0.660 0.660 Cu
0.660 0.660 0.148 Cu
0.660 0.148 0.660 Cu
0.852 0.340 0.340 Cu
0.340 0.340 0.852 Cu
0.340 0.852 0.340 Cu
0.094 0.094 0.094 Ni
0.906 0.906 0.906 Ni
```

***

## Sr2CuNi (PBE)

Data for a relaxed Sr2CuNi crystal.

```
Sr2CuNi
1.0
4.426 0.000 0.000
0.000 4.301 0.000
0.000 0.000 6.139
Cu Ni Sr
1 1 2
direct
0.000 0.000 0.376 Cu
0.500 0.500 0.874 Ni
0.000 0.000 0.876 Sr
0.500 0.500 0.374 Sr
```

***

## SrZn2CuNi (PBE)

Data for a relaxed SrZn2CuNi crystal.

```
SrZn2CuNi
1.0
4.616 0.000 0.000
0.000 4.616 0.000
0.000 0.000 4.768
Sr Zn Cu Ni
1 2 1 1
direct
0.500 0.500 0.500 Sr
0.000 0.500 0.000 Zn
0.500 0.000 0.000 Zn
0.000 0.000 0.500 Cu
0.000 0.000 0.000 Ni
```

***

## Sr2Zn6CuNi (PBE)

Data for a relaxed Sr2Zn6CuNi crystal.

```
Sr2Zn6CuNi
1.0
-6.416 1.879 -0.049
-0.144 -0.318 6.678
-1.958 5.298 3.557
Sr Zn Cu Ni
2 6 1 1
direct
0.750 0.250 0.500 Sr
0.250 0.750 0.500 Sr
0.248 0.248 0.505 Zn
0.753 0.753 0.000 Zn
0.248 0.753 0.000 Zn
0.752 0.247 0.000 Zn
0.247 0.247 0.000 Zn
0.752 0.752 0.495 Zn
0.500 0.500 0.000 Cu
0.000 0.000 0.000 Ni
```

***

## SrZn3CuNi (PBE)

Data for a relaxed SrZn3CuNi crystal.

```
SrZn3CuNi
1.0
-2.897 -2.577 -4.051
2.960 -5.541 1.408
-5.971 1.408 3.373
Sr Zn Cu Ni
2 6 2 2
direct
0.750 0.267 0.535 Sr
0.250 0.733 0.465 Sr
0.250 0.152 0.305 Zn
0.000 0.298 0.000 Zn
0.500 0.702 0.000 Zn
0.500 0.298 0.000 Zn
0.000 0.702 0.000 Zn
0.750 0.848 0.695 Zn
0.250 0.360 0.719 Cu
0.750 0.640 0.281 Cu
0.250 0.962 0.924 Ni
0.750 0.038 0.076 Ni
```

***

DOS at the Fermi energy
In order: 0.4805, 0.7181, 0.4897, 0.5280, 0.6940, 0.5066, 0.4719, 0.4183
Unit: states/eV/atom
Magnetic moment
In order: 0.00, 0.00, 0.00, 0.00, 0.00, 0.00, 0.00, 0.00
Unit: μB/cell
Formation energy
In order: 0.101, 0.033, 0.202, -0.023, 0.219, -0.068, -0.140, -0.074
Unit: eV/atom